(1)
First-principles (GGA-PBE) data for an optimized crystal structure of KTaTl2S4, as listed in Alexandria via LeMat-Bulk.

Values from the calculation:
Density of states at the Fermi level   0.00 states/eV/cell
Total DFT energy (no corrections)   -5.14 eV/atom
Raw formation energy   -83.6 kJ per mole of atoms
Crystal system   orthorhombic
Spin magnetization   0.00 μB per cell

```
data_KTaTl2S4
_symmetry_space_group_name_H-M 'P m n 21'
_symmetry_Int_Tables_number 31
_symmetry_space_group_name_Hall 'P 2ac -2'
_cell_length_a 8.9586
_cell_length_b 9.4386
_cell_length_c 6.4036
_cell_angle_alpha 90.00
_cell_angle_beta 90.00
_cell_angle_gamma 90.00
loop_
_atom_site_label
_atom_site_type_symbol
_atom_site_fract_x
_atom_site_fract_y
_atom_site_fract_z
_atom_site_occupancy
K1 K 0.0000 0.1060 0.0000 1
Ta1 Ta 0.0000 0.7943 0.4132 1
Tl1 Tl 0.2055 0.3399 0.5259 1
S1 S 0.0000 0.0279 0.5020 1
S2 S 0.0000 0.7806 0.0546 1
S3 S 0.2168 0.6809 0.5102 1
```

=====

(2)
First-principles (GGA-PBE) data for an optimized crystal structure of SmTm3Co8, as listed in Alexandria via LeMat-Bulk.

Values from the calculation:
Density of states at the Fermi level   45.41 states/eV/cell
Total DFT energy (no corrections)   -6.47 eV/atom
Crystal system   trigonal
Formation energy   -21 kJ per mole of atoms
Spin magnetization   22.60 μB per cell

```
data_SmTm3Co8
_symmetry_space_group_name_H-M 'R 3 m'
_symmetry_Int_Tables_number 160
_symmetry_space_group_name_Hall 'R 3 -2"'
_cell_length_a 5.0472
_cell_length_b 5.0472
_cell_length_c 24.7773
_cell_angle_alpha 90.00
_cell_angle_beta 90.00
_cell_angle_gamma 120.00
loop_
_atom_site_label
_atom_site_type_symbol
_atom_site_fract_x
_atom_site_fract_y
_atom_site_fract_z
_atom_site_occupancy
Sm1 Sm 0.0000 0.0000 0.0000 1
Tm1 Tm 0.0000 0.0000 0.1254 1
Tm2 Tm 0.0000 0.0000 0.5002 1
Tm3 Tm 0.0000 0.0000 0.6247 1
Co1 Co 0.0000 0.0000 0.3122 1
Co2 Co 0.0000 0.0000 0.8127 1
Co3 Co 0.0020 0.5010 0.0640 1
Co4 Co 0.1683 0.3366 0.8946 1
```

=====

(3)
First-principles (GGA-PBE) data for an optimized crystal structure of Pm2GeRh, as listed in Alexandria via LeMat-Bulk.

Values from the calculation:
Density of states at the Fermi level   2.05 states/eV/cell
Total DFT energy (no corrections)   -6.03 eV/atom
Crystal system   tetragonal
Formation energy   -64 kJ per mole of atoms
Spin magnetization   0.00 μB per cell

```
data_Pm2GeRh
_symmetry_space_group_name_H-M 'P 4/m m m'
_symmetry_Int_Tables_number 123
_symmetry_space_group_name_Hall '-P 4 2'
_cell_length_a 4.9046
_cell_length_b 4.9046
_cell_length_c 3.8198
_cell_angle_alpha 90.00
_cell_angle_beta 90.00
_cell_angle_gamma 90.00
loop_
_atom_site_label
_atom_site_type_symbol
_atom_site_fract_x
_atom_site_fract_y
_atom_site_fract_z
_atom_site_occupancy
Pm1 Pm 0.0000 0.5000 0.0000 1
Ge1 Ge 0.0000 0.0000 0.5000 1
Rh1 Rh 0.5000 0.5000 0.5000 1
```

=====

(4)
First-principles (GGA-PBE) data for an optimized crystal structure of TcNi2S4, as listed in Alexandria via LeMat-Bulk.

Values from the calculation:
Density of states at the Fermi level   14.39 states/eV/cell
Total DFT energy (no corrections)   -5.24 eV/atom
Raw formation energy   24.2 kJ per mole of atoms
Crystal system   tetragonal
Spin magnetization   2.37 μB per cell

```
data_TcNi2S4
_symmetry_space_group_name_H-M 'I 4/m m m'
_symmetry_Int_Tables_number 139
_symmetry_space_group_name_Hall '-I 4 2'
_cell_length_a 4.7364
_cell_length_b 4.7364
_cell_length_c 10.9771
_cell_angle_alpha 90.00
_cell_angle_beta 90.00
_cell_angle_gamma 90.00
loop_
_atom_site_label
_atom_site_type_symbol
_atom_site_fract_x
_atom_site_fract_y
_atom_site_fract_z
_atom_site_occupancy
Tc1 Tc 0.0000 0.0000 0.0000 1
Ni1 Ni 0.0000 0.0000 0.3957 1
S1 S 0.0000 0.0000 0.2081 1
S2 S 0.0000 0.5000 0.0000 1
```

=====

(5)
First-principles (GGA-PBE) data for an optimized crystal structure of Na3Sn2Sb3, as listed in Alexandria via LeMat-Bulk.

Values from the calculation:
Density of states at the Fermi level   3.31 states/eV/cell
Total DFT energy (no corrections)   -3.25 eV/atom
Raw formation energy   -20.2 kJ per mole of atoms
Crystal system   orthorhombic
Distance to the lowest polymorph of the same formula   0.9 kJ per mole of atoms
Spin magnetization   0.00 μB per cell

```
data_Na3Sn2Sb3
_symmetry_space_group_name_H-M 'P n m a'
_symmetry_Int_Tables_number 62
_symmetry_space_group_name_Hall '-P 2ac 2n'
_cell_length_a 10.3612
_cell_length_b 14.1339
_cell_length_c 7.5810
_cell_angle_alpha 90.00
_cell_angle_beta 90.00
_cell_angle_gamma 90.00
loop_
_atom_site_label
_atom_site_type_symbol
_atom_site_fract_x
_atom_site_fract_y
_atom_site_fract_z
_atom_site_occupancy
Na1 Na 0.0297 0.1178 0.1184 1
Na2 Na 0.1352 0.2500 0.5132 1
Sn1 Sn 0.1502 0.5829 0.4462 1
Sb1 Sb 0.1157 0.0607 0.7204 1
Sb2 Sb 0.1857 0.7500 0.6691 1
```

=====

(6)
First-principles (GGA-PBE) data for an optimized crystal structure of RbNaSnF2, as listed in Alexandria via LeMat-Bulk.

Values from the calculation:
Density of states at the Fermi level   3.35 states/eV/cell
Total DFT energy (no corrections)   -3.08 eV/atom
Raw formation energy   -104.0 kJ per mole of atoms
Crystal system   tetragonal
Spin magnetization   0.31 μB per cell

```
data_RbNaSnF2
_symmetry_space_group_name_H-M 'P 4/m m m'
_symmetry_Int_Tables_number 123
_symmetry_space_group_name_Hall '-P 4 2'
_cell_length_a 4.7756
_cell_length_b 4.7756
_cell_length_c 5.6568
_cell_angle_alpha 90.00
_cell_angle_beta 90.00
_cell_angle_gamma 90.00
loop_
_atom_site_label
_atom_site_type_symbol
_atom_site_fract_x
_atom_site_fract_y
_atom_site_fract_z
_atom_site_occupancy
Rb1 Rb 0.0000 0.0000 0.0000 1
Na1 Na 0.5000 0.5000 0.5000 1
Sn1 Sn 0.5000 0.5000 0.0000 1
F1 F 0.0000 0.5000 0.5000 1
```